No. 1
First-principles (GGA-PBE) data for a relaxed structure of GdZrNiPd, as listed in Alexandria via LeMat-Bulk.

Summary:
calculated formation energy	-1.75	eV/f.u.

Cell: 4.792 4.792 4.792 Å, 60.00 60.00 60.00°
Fractional coordinates of all 4 atoms:
Gd (0.000, 0.000, 0.000)
Zr (0.500, 0.500, 0.500)
Ni (0.250, 0.250, 0.250)
Pd (0.750, 0.750, 0.750)

***

No. 2
First-principles (GGA-PBE) data for a relaxed structure of Te5H2Au4, as listed in Alexandria via LeMat-Bulk.

Summary:
energy	-0.229	Ry/atom

Cell: 9.114 9.114 9.478 Å, 100.45 100.45 19.72°
Fractional coordinates of all 11 atoms:
Te (0.000, 0.000, 0.000)
Te (0.281, 0.281, 0.847)
Te (0.351, 0.351, 0.583)
Te (0.649, 0.649, 0.417)
Te (0.719, 0.719, 0.153)
H (0.038, 0.038, 0.645)
H (0.962, 0.962, 0.355)
Au (0.137, 0.137, 0.715)
Au (0.499, 0.499, 0.730)
Au (0.501, 0.501, 0.270)
Au (0.863, 0.863, 0.285)

***

No. 3
First-principles (GGA-PBE) data for a relaxed structure of PmY3Er2Te6, as listed in Alexandria via LeMat-Bulk.

Summary:
energy	-0.414	Ry/atom

Cell: 9.755 9.755 8.783 Å, 102.46 102.46 25.72°
Fractional coordinates of all 12 atoms:
Pm (0.000, 0.000, 0.000)
Y (0.000, 0.000, 0.500)
Y (0.339, 0.339, 0.166)
Y (0.661, 0.661, 0.834)
Er (0.336, 0.336, 0.670)
Er (0.664, 0.664, 0.330)
Te (0.169, 0.169, 0.582)
Te (0.172, 0.172, 0.089)
Te (0.498, 0.498, 0.743)
Te (0.502, 0.502, 0.257)
Te (0.828, 0.828, 0.911)
Te (0.831, 0.831, 0.418)

***

No. 4
First-principles (GGA-PBE) data for a relaxed structure of InHg2Pb2, as listed in Alexandria via LeMat-Bulk.

Summary:
polymorph energy (0 for the lowest one)	33.9	meV/atom
calculated formation energy	0.46	eV/f.u.

Cell: 9.275 9.275 9.275 Å, 154.23 154.23 36.77°
Fractional coordinates of all 5 atoms:
In (0.000, 0.000, 0.000)
Hg (0.250, 0.750, 0.500)
Hg (0.750, 0.250, 0.500)
Pb (0.401, 0.401, 0.000)
Pb (0.599, 0.599, 0.000)

***

No. 5
First-principles (GGA-PBE) data for a relaxed structure of ThZrPd, as listed in Alexandria via LeMat-Bulk.

Summary:
polymorph energy (0 for the lowest one)	0.0	meV/atom
calculated formation energy	-1.37	eV/f.u.

Cell: 3.649 4.782 8.215 Å, 90.00 89.94 89.83°
Fractional coordinates of all 6 atoms:
Th (0.249, 0.250, 0.344)
Th (0.751, 0.750, 0.656)
Zr (0.250, 0.750, 0.007)
Zr (0.750, 0.250, 0.993)
Pd (0.251, 0.250, 0.718)
Pd (0.749, 0.750, 0.282)

***

No. 6
First-principles (GGA-PBE) data for a relaxed structure of Tm5CoPb2, as listed in Alexandria via LeMat-Bulk.

Summary:
polymorph energy (0 for the lowest one)	0.0	meV/atom
calculated formation energy	-3.18	eV/f.u.

Cell: 12.166 8.870 7.782 Å, 90.00 90.00 90.00°
Fractional coordinates of all 32 atoms:
Tm (0.004, 0.250, 0.048)
Tm (0.068, 0.534, 0.323)
Tm (0.068, 0.966, 0.323)
Tm (0.187, 0.250, 0.616)
Tm (0.205, 0.750, 0.650)
Tm (0.295, 0.250, 0.150)
Tm (0.313, 0.750, 0.116)
Tm (0.432, 0.034, 0.823)
Tm (0.432, 0.466, 0.823)
Tm (0.496, 0.750, 0.548)
Tm (0.504, 0.250, 0.452)
Tm (0.568, 0.534, 0.177)
Tm (0.568, 0.966, 0.177)
Tm (0.687, 0.250, 0.884)
Tm (0.705, 0.750, 0.850)
Tm (0.795, 0.250, 0.350)
Tm (0.813, 0.750, 0.384)
Tm (0.932, 0.034, 0.677)
Tm (0.932, 0.466, 0.677)
Tm (0.996, 0.750, 0.952)
Co (0.005, 0.250, 0.435)
Co (0.495, 0.750, 0.935)
Co (0.505, 0.250, 0.065)
Co (0.995, 0.750, 0.565)
Pb (0.172, 0.006, 0.926)
Pb (0.172, 0.494, 0.926)
Pb (0.328, 0.506, 0.426)
Pb (0.328, 0.994, 0.426)
Pb (0.672, 0.006, 0.574)
Pb (0.672, 0.494, 0.574)
Pb (0.828, 0.506, 0.074)
Pb (0.828, 0.994, 0.074)

***

No. 7
First-principles (GGA-PBE) data for a relaxed structure of SmCd4Rh, as listed in Alexandria via LeMat-Bulk.

Summary:
polymorph energy (0 for the lowest one)	122.9	meV/atom
calculated formation energy	-1.00	eV/f.u.

Cell: 5.652 5.652 5.652 Å, 60.00 60.00 60.00°
Fractional coordinates of all 6 atoms:
Sm (0.000, 0.000, 0.000)
Cd (0.376, 0.376, 0.376)
Cd (0.376, 0.376, 0.872)
Cd (0.376, 0.872, 0.376)
Cd (0.872, 0.376, 0.376)
Rh (0.750, 0.750, 0.750)

***

No. 8
First-principles (GGA-PBE) data for a relaxed structure of RbMg2Bi2, as listed in Alexandria via LeMat-Bulk.

Summary:
polymorph energy (0 for the lowest one)	0.0	meV/atom
calculated formation energy	-1.71	eV/f.u.

Cell: 7.771 7.771 7.771 Å, 142.67 142.67 53.82°
Fractional coordinates of all 5 atoms:
Rb (0.000, 0.000, 0.000)
Mg (0.250, 0.750, 0.500)
Mg (0.750, 0.250, 0.500)
Bi (0.372, 0.372, 0.000)
Bi (0.628, 0.628, 0.000)

***

no.,N(E_F) (states/eV/atom)
1,0.688
2,0.311
3,0.572
4,0.439
5,1.098
6,0.848
7,0.026
8,0.985